{
  "formula": "Cs2PrOsO6",
  "functional": "GGA-PBE",
  "state": "optimized geometry",
  "raw_formation_energy_ev_per_fu": -17.1,
  "space_group": "P-3m1 (164)",
  "lattice": [[6.7286, 0.0000, 0.0000], [-3.3643, 5.8271, 0.0000], [0.0000, 0.0000, 6.0550]],
  "species": ["Cs", "Cs", "Pr", "Os", "O", "O", "O", "O", "O", "O"],
  "frac_coords": [[0.3333, 0.6667, 0.3798], [0.6667, 0.3333, 0.6202], [0.0000, 0.0000, 0.0000], [0.0000, 0.0000, 0.5000], [0.1306, 0.2611, 0.6941], [0.1306, 0.8694, 0.6941], [0.2611, 0.1306, 0.3059], [0.7389, 0.8694, 0.6941], [0.8694, 0.1306, 0.3059], [0.8694, 0.7389, 0.3059]]
}

***

{
  "formula": "Li2YH2",
  "functional": "GGA-PBE",
  "state": "optimized geometry",
  "energy_ev_per_atom": -3.5427,
  "space_group": "P4/mbm (127)",
  "lattice": [[6.0586, 0.0000, 0.0000], [0.0000, 6.0586, 0.0000], [0.0000, 0.0000, 4.1138]],
  "species": ["Li", "Li", "Li", "Li", "Y", "Y", "H", "H", "H", "H"],
  "frac_coords": [[0.1509, 0.3491, 0.0000], [0.3491, 0.8491, 0.0000], [0.6509, 0.1509, 0.0000], [0.8491, 0.6509, 0.0000], [0.0000, 0.0000, 0.5000], [0.5000, 0.5000, 0.5000], [0.1766, 0.3234, 0.5000], [0.3234, 0.8234, 0.5000], [0.6766, 0.1766, 0.5000], [0.8234, 0.6766, 0.5000]]
}

***

{
  "formula": "LaCe2US8",
  "functional": "GGA-PBE",
  "state": "optimized geometry",
  "raw_formation_energy_ev_per_fu": -19.3,
  "space_group": "P2/m (10)",
  "lattice": [[6.2584, 0.0000, 0.0000], [0.0000, 8.4581, 0.0000], [-0.0656, 0.0000, 6.3132]],
  "species": ["La", "Ce", "Ce", "U", "S", "S", "S", "S", "S", "S", "S", "S"],
  "frac_coords": [[0.0000, 0.0000, 0.0000], [0.5000, 0.2506, 0.5000], [0.5000, 0.7494, 0.5000], [0.0000, 0.5000, 0.0000], [0.2284, 0.2740, 0.8488], [0.2284, 0.7260, 0.8488], [0.2616, 0.5000, 0.3332], [0.2687, 0.0000, 0.3669], [0.7313, 0.0000, 0.6331], [0.7384, 0.5000, 0.6668], [0.7716, 0.2740, 0.1512], [0.7716, 0.7260, 0.1512]]
}

***

{
  "formula": "Ir3W2",
  "functional": "GGA-PBE",
  "state": "optimized geometry",
  "formation_enthalpy_0k_ev_per_fu": -0.67,
  "space_group": "Fdd2 (43)",
  "lattice": [[0.0000, 6.6945, 2.4087], [4.7531, 0.0000, 2.4087], [4.7531, 6.6945, 0.0000]],
  "species": ["Ir", "Ir", "Ir", "Ir", "Ir", "Ir", "W", "W", "W", "W"],
  "frac_coords": [[0.0000, 0.0000, 0.0000], [0.2500, 0.2500, 0.2500], [0.3783, 0.6653, 0.4185], [0.6653, 0.3783, 0.5379], [0.7121, 0.8315, 0.5847], [0.8315, 0.7121, 0.8717], [0.1240, 0.4559, 0.9753], [0.2747, 0.8051, 0.1260], [0.4559, 0.1240, 0.4449], [0.8051, 0.2747, 0.7941]]
}

***

| no. | DOS(E_F) (states/eV/cell) |
| --- | --- |
| 1 | 5.0 |
| 2 | 5.7 |
| 3 | 8.2 |
| 4 | 6.4 |